{"formula": "Sr2AgHgAu6", "functional": "PBE", "state": "optimized geometry", "formation_energy_mev_per_atom": -105, "lattice": [[7.393, 0.000, 0.000], [0.000, 7.393, 0.000], [3.697, 3.696, 5.228]], "species": ["Hg", "Au", "Au", "Sr", "Sr", "Au", "Au", "Au", "Ag", "Au"], "frac_coords": [[0.500, 0.500, 0.000], [0.753, 0.753, 0.000], [0.247, 0.753, 0.000], [0.750, 0.250, 0.500], [0.250, 0.750, 0.500], [0.247, 0.247, 0.000], [0.753, 0.247, 0.000], [0.247, 0.247, 0.506], [0.000, 0.000, 0.000], [0.753, 0.753, 0.494]]}

***

{"formula": "SrAgHgAu", "functional": "PBE", "state": "optimized geometry", "formation_energy_mev_per_atom": -411, "lattice": [[-0.642, 3.400, 3.432], [-3.064, -3.787, -0.282], [5.174, -1.221, 2.177]], "species": ["Au", "Hg", "Sr", "Ag"], "frac_coords": [[0.404, 0.808, 0.854], [0.840, 0.679, 0.161], [0.622, 0.243, 0.507], [0.101, 0.202, 0.945]]}

***

{"formula": "Sr3Ag2Hg2Au4", "functional": "PBE", "state": "optimized geometry", "formation_energy_mev_per_atom": -471, "lattice": [[4.887, 0.000, 0.000], [-2.443, 4.232, 0.000], [0.000, 0.000, 14.300]], "species": ["Ag", "Au", "Sr", "Hg", "Ag", "Hg", "Au", "Sr", "Au", "Sr", "Au"], "frac_coords": [[0.667, 0.333, 0.853], [0.333, 0.667, 0.870], [0.000, 0.000, 0.274], [0.333, 0.667, 0.577], [0.333, 0.667, 0.147], [0.667, 0.333, 0.423], [0.667, 0.333, 0.630], [0.000, 0.000, 0.726], [0.333, 0.667, 0.370], [0.000, 0.000, 0.000], [0.667, 0.333, 0.130]]}

***

{"formula": "Tb4AgHgAu2", "functional": "PBE", "state": "optimized geometry", "formation_energy_mev_per_atom": -618, "lattice": [[-0.558, 0.168, 5.127], [-4.709, -0.263, 2.093], [-1.133, -8.449, 2.750]], "species": ["Au", "Tb", "Au", "Tb", "Tb", "Hg", "Tb", "Ag"], "frac_coords": [[0.250, 0.250, 0.250], [0.623, 0.623, 0.130], [0.750, 0.750, 0.750], [0.874, 0.874, 0.379], [0.377, 0.377, 0.870], [0.000, 0.000, 0.000], [0.126, 0.126, 0.621], [0.500, 0.500, 0.500]]}

***

{"formula": "TbAgHgAu", "functional": "PBE", "state": "optimized geometry", "formation_energy_mev_per_atom": -457, "e_above_lowest_polymorph_ev_per_atom": 0.000, "lattice": [[-3.286, -2.889, 1.686], [0.726, -2.922, -3.595], [4.018, 1.012, 3.045]], "species": ["Hg", "Ag", "Tb", "Au"], "frac_coords": [[0.750, 0.250, 0.500], [0.500, 0.500, 0.000], [0.000, 0.000, 0.000], [0.250, 0.750, 0.500]]}

***

{"formula": "Tb4Ag2HgAu", "functional": "PBE", "state": "optimized geometry", "formation_energy_mev_per_atom": -494, "lattice": [[5.174, 0.000, 0.000], [2.587, 4.481, 0.000], [2.587, 1.494, 8.464]], "species": ["Ag", "Tb", "Ag", "Au", "Tb", "Tb", "Hg", "Tb"], "frac_coords": [[0.254, 0.254, 0.239], [0.128, 0.128, 0.616], [0.746, 0.746, 0.761], [0.500, 0.500, 0.500], [0.622, 0.622, 0.135], [0.872, 0.872, 0.384], [0.000, 0.000, 0.000], [0.378, 0.378, 0.865]]}

***

{"formula": "TbAgHgAu", "functional": "PBE", "state": "optimized geometry", "formation_energy_mev_per_atom": -450, "e_above_lowest_polymorph_ev_per_atom": 0.007, "lattice": [[-1.160, 4.120, -2.513], [-3.789, -0.033, -3.206], [-4.174, 2.465, 1.066]], "species": ["Hg", "Au", "Ag", "Tb"], "frac_coords": [[0.000, 0.000, 0.000], [0.500, 0.500, 0.500], [0.750, 0.750, 0.750], [0.250, 0.250, 0.250]]}

***

{"formula": "AgHgTe2Au", "functional": "PBE", "state": "optimized geometry", "formation_energy_uncorrected_mev_per_atom": -62, "lattice": [[-4.965, 4.948, -1.542], [-3.070, -1.068, 6.459], [3.399, 4.081, 2.151]], "species": ["Ag", "Hg", "Au", "Te", "Ag", "Te", "Te", "Hg", "Au", "Te"], "frac_coords": [[0.589, 0.000, 0.250], [0.247, 0.500, 0.750], [0.000, 0.000, 0.500], [0.264, 0.753, 0.399], [0.411, 0.000, 0.750], [0.736, 0.247, 0.601], [0.736, 0.753, 0.899], [0.753, 0.500, 0.250], [0.000, 0.000, 0.000], [0.264, 0.247, 0.101]]}

***

{"formula": "TlAgHgAu", "functional": "PBE", "state": "optimized geometry", "formation_energy_mev_per_atom": 104, "lattice": [[5.012, 0.000, 0.000], [2.506, 4.341, 0.000], [2.506, 1.447, 4.092]], "species": ["Au", "Tl", "Ag", "Hg"], "frac_coords": [[0.500, 0.500, 0.500], [0.750, 0.750, 0.750], [0.250, 0.250, 0.250], [0.000, 0.000, 0.000]]}

***

{"formula": "TlAgHg2Au", "functional": "PBE", "state": "optimized geometry", "formation_energy_mev_per_atom": 174, "lattice": [[-0.244, 4.448, 2.980], [-4.482, 1.463, -2.550], [-2.914, -2.594, 3.633]], "species": ["Hg", "Hg", "Ag", "Au", "Tl"], "frac_coords": [[0.000, 0.500, 0.000], [0.500, 0.000, 0.000], [0.000, 0.000, 0.500], [0.000, 0.000, 0.000], [0.500, 0.500, 0.500]]}

***

{"formula": "YAgHgAu", "functional": "PBE", "state": "optimized geometry", "formation_energy_mev_per_atom": -452, "e_above_lowest_polymorph_ev_per_atom": 0.005, "lattice": [[4.958, 0.000, 0.000], [2.479, 4.293, 0.000], [2.479, 1.431, 4.048]], "species": ["Ag", "Y", "Hg", "Au"], "frac_coords": [[0.750, 0.750, 0.750], [0.250, 0.250, 0.250], [0.000, 0.000, 0.000], [0.500, 0.500, 0.500]]}

***

{"formula": "YAgHgAu", "functional": "PBE", "state": "optimized geometry", "formation_energy_mev_per_atom": -457, "e_above_lowest_polymorph_ev_per_atom": 0.000, "lattice": [[4.680, 0.000, 0.000], [0.000, 4.680, 0.001], [-2.340, -2.338, 3.933]], "species": ["Y", "Au", "Hg", "Ag"], "frac_coords": [[0.250, 0.750, 0.500], [0.000, 0.000, 0.000], [0.500, 0.500, 0.000], [0.750, 0.250, 0.500]]}